# Rb2SmRe3O12

Rb2SmRe3O12 after structural relaxation (PBE, Alexandria via LeMat-Bulk).

For the volume, the calculation gives 906 Å³/cell. The value obtained for the uncorrected formation energy is -1.91 eV/atom. For the calculated total energy, the calculation gives -413.5 eV for the cell shown. The density is 5.9 g/cm³.

The space group is R-3m (No. 166, hexagonal axes) and the conventional cell measures 7.4240, 7.4240 and 18.9900 Å, with angles of 90.00, 90.00 and 120.00 degrees. Symmetry generates all atoms from Rb at (0.0000, 0.0000, 0.1174), Sm at (0.0000, 0.0000, 0.5000), Re at (0.0000, 0.5000, 0.0000), O at (0.0373, 0.5186, 0.0970) and O at (0.0850, 0.5425, 0.3425).